# 1
MgMnV2Cl: optimized geometry, PBE.

The structure belongs to space group P4/mmm (No. 123); the cell edges are 4.3041, 4.3041 and 5.3136 Å and the angles 90.00°, 90.00° and 90.00°. The inequivalent atoms are Mg at (0.0000, 0.0000, 0.0000), Mn at (0.0000, 0.0000, 0.5000), V at (0.0000, 0.5000, 0.5000) and Cl at (0.5000, 0.5000, 0.0000).

As for the crystal system: tetragonal. The calculation puts the formation energy (no corrections) at 3.3 eV per formula unit.

***

# 2
K2HgAu2: optimized geometry, PBE.

The structure belongs to space group P4/mbm (No. 127); the cell edges are 8.1175, 8.1175 and 4.6705 Å and the angles 90.00°, 90.00° and 90.00°. The inequivalent atoms are K at (0.1724, 0.3276, 0.0000), Hg at (0.0000, 0.0000, 0.5000) and Au at (0.1253, 0.6253, 0.5000).

The distance to the lowest polymorph of the same formula is 28 meV per atom. As for the crystal system: tetragonal.

***

# 3
HoZn6Rh2: optimized geometry, PBE.

The structure belongs to space group Immm (No. 71); the cell edges are 3.1967, 7.1901 and 12.7469 Å and the angles 90.00°, 90.00° and 90.00°. The inequivalent atoms are Ho at (0.0000, 0.0000, 0.0000), Zn at (0.0000, 0.1640, 0.5000), Zn at (0.0000, 0.3122, 0.3215) and Rh at (0.0000, 0.5000, 0.1438).

As for the crystal system: orthorhombic. The calculation puts the total energy at -29.056 eV per formula unit.

***

# 4
Pm5Zn2Ag12: optimized geometry, PBE.

The structure belongs to space group C2/m (No. 12); the cell edges are 15.3918, 7.6260 and 7.1390 Å and the angles 90.00°, 91.42° and 90.00°. The inequivalent atoms are Pm at (0.0000, 0.0000, 0.0000), Pm at (0.1983, 0.5000, 0.5314), Pm at (0.2442, 0.0000, 0.9406), Zn at (0.0000, 0.2995, 0.5000), Ag at (0.0515, 0.5000, 0.1833), Ag at (0.0959, 0.0000, 0.5920), Ag at (0.1066, 0.3032, 0.8412) and Ag at (0.1430, 0.1888, 0.2552).

As for the crystal system: monoclinic. The calculation puts the total energy at -63.528 eV per formula unit.

***

How do the records compare in total magnetization? In the order shown, they have 1.9, 0.0, 0.0, 0.0 μB per cell.
How do the records compare in calculated density? In the order shown, they have 3.654, 7.259, 8.651, 8.525 g/cm3.